First-principles (GGA-PBE) data for a relaxed Y4CdAu3 crystal, as listed in the Alexandria database.

Unit cell a=3.643 b=5.143 c=10.304 alpha=90.00 beta=90.00 gamma=90.00
Positions (direct):
Y1 0.000 0.000 0.000
Y2 0.000 0.000 0.500
Y3 0.000 0.500 0.241
Y4 0.000 0.500 0.759
Cd1 0.500 0.500 0.500
Au1 0.500 0.000 0.259
Au2 0.500 0.000 0.741
Au3 0.500 0.500 0.000

Values from the calculation:
- Total DFT energy (no corrections): -5.30 eV/atom
- M_tot: 0.00 Bohr magnetons per cell
- Formation energy from the elements: -725 meV/atom